# 1
Compound: Dy2HoCo2Ni7
Source: the Open Quantum Materials Database
Functional: PBE
Structure: optimized geometry

It has space group R-3m (No. 166, hexagonal axes), with a = 4.9302 Å, b = 4.9302 Å, c = 24.3144 Å, α = 90.00°, β = 90.00° and γ = 120.00°. The asymmetric unit holds Dy at (0.0000, 0.0000, 0.1386), Ho at (0.0000, 0.0000, 0.0000), Co at (0.0000, 0.0000, 0.3329), Ni at (0.0000, 0.0000, 0.5000) and Ni at (0.0009, 0.5004, 0.9186).

=====

# 2
Compound: Dy2HoCoNi8
Source: the Open Quantum Materials Database
Functional: PBE
Structure: optimized geometry

It has space group R-3m (No. 166, hexagonal axes), with a = 4.9203 Å, b = 4.9203 Å, c = 24.3286 Å, α = 90.00°, β = 90.00° and γ = 120.00°. The asymmetric unit holds Dy at (0.0000, 0.0000, 0.1394), Ho at (0.0000, 0.0000, 0.0000), Co at (0.0000, 0.0000, 0.5000), Ni at (0.0000, 0.0000, 0.3330) and Ni at (0.0000, 0.5000, 0.0822).

=====

Number 1: calculated total energy -5.934 eV per atom, E_form -353.8 meV/atom. Number 2: calculated total energy -5.833 eV per atom, E_form -380.6 meV/atom.